(1)
Material: AcHo7Er2
Method: DFT, PBE
State: relaxed Values from VASP.

- Energy above the lowest structure with this stoichiometry: 0.0 meV per atom

The structure in Quantum ESPRESSO input format:
```
&SYSTEM
  ibrav = 0, nat = 10, ntyp = 3
/
ATOMIC_SPECIES
Ho 164.93 Ho.upf
Er 167.26 Er.upf
Ac 227.00 Ac.upf
CELL_PARAMETERS angstrom
5.1236 -1.6319 0.8642
-2.7666 6.8383 -5.0332
0.7144 -0.9186 11.2108
ATOMIC_POSITIONS angstrom
Ho 1.1785 2.6032 -2.0845
Ho 3.2768 1.6501 0.8412
Ho -0.2054 2.6377 6.2007
Er -0.6886 5.8460 -2.0657
Er 3.7600 -1.5581 9.1076
Ho 0.2092 2.0845 2.6945
Ac 0.0000 0.0000 0.0000
Ho 2.8622 2.2033 4.3474
Ho 1.6884 -0.3548 6.4918
Ho 1.3829 4.6426 0.5501
```



(2)
Material: AcHo10Er4
Method: DFT, PBE
State: relaxed Values from VASP.

The structure in Quantum ESPRESSO input format:
```
&SYSTEM
  ibrav = 0, nat = 15, ntyp = 3
/
ATOMIC_SPECIES
Er 167.26 Er.upf
Ho 164.93 Ho.upf
Ac 227.00 Ac.upf
CELL_PARAMETERS angstrom
-5.7661 -1.5577 -2.7755
-0.2723 -9.3588 -1.9962
-6.3548 -2.4117 6.7414
ATOMIC_POSITIONS angstrom
Er -4.3038 -9.5828 -1.3095
Ho -7.0328 -10.0916 0.7481
Er -2.6263 -3.0789 -0.6303
Ho -4.7551 -6.2747 1.6788
Ho -8.2364 -4.0135 -0.1627
Ho -5.3604 -3.2366 1.2216
Ho -3.3632 -6.4189 -1.1225
Er -8.0895 -3.7454 3.2793
Ho -6.1400 -6.1286 4.4834
Ac 0.0000 0.0000 0.0000
Ho -4.1569 -9.3147 2.1325
Ho -6.2533 -7.1996 -2.5136
Er -9.7670 -10.2493 2.6001
Ho -7.6381 -7.0535 0.2910
Ho -9.0301 -6.9094 3.0923
```



(3)
Material: AcHo6Er2
Method: DFT, PBE
State: relaxed Values from VASP.

- Energy above the lowest structure with this stoichiometry: 320.0 meV per atom

The structure in Quantum ESPRESSO input format:
```
&SYSTEM
  ibrav = 0, nat = 9, ntyp = 3
/
ATOMIC_SPECIES
Er 167.26 Er.upf
Ho 164.93 Ho.upf
Ac 227.00 Ac.upf
CELL_PARAMETERS angstrom
6.8319 0.0000 0.0000
3.4160 5.9166 0.0000
3.4160 1.9722 8.3991
ATOMIC_POSITIONS angstrom
Er 6.8319 3.9444 2.3471
Ho 5.1693 2.9800 5.4602
Ho 5.1405 0.9726 2.9078
Ho 6.8281 5.8665 5.4602
Ho 8.4984 2.9867 5.4602
Ho 3.4193 3.9655 2.9078
Ac 6.8319 3.9444 8.3758
Er 10.2479 5.9166 6.1935
Ho 1.6880 0.9785 2.9078
```



(4)
Material: AcHo4Er2
Method: DFT, PBE
State: relaxed Values from VASP.

- Energy above the lowest structure with this stoichiometry: 0.0 meV per atom

The structure in Quantum ESPRESSO input format:
```
&SYSTEM
  ibrav = 0, nat = 14, ntyp = 3
/
ATOMIC_SPECIES
Ho 164.93 Ho.upf
Er 167.26 Er.upf
Ac 227.00 Ac.upf
CELL_PARAMETERS angstrom
-6.1650 -5.6723 4.7028
6.1230 -4.4893 5.3228
-2.4131 9.1328 -1.9872
ATOMIC_POSITIONS angstrom
Ho -3.9576 -0.7641 5.9036
Er -2.5707 2.1309 4.3242
Ho 2.7774 -1.1817 3.0789
Ho -4.9197 -3.6270 4.0008
Ac 0.7415 1.9688 2.8906
Ho -2.1531 2.1826 0.7658
Er -1.9978 -3.9685 6.0401
Ho -5.3843 2.3304 2.2439
Ho -0.6259 -1.0414 4.5480
Ac -0.1196 -0.9665 0.9570
Er -3.5445 -0.7027 2.5100
Ho 1.2601 -4.0593 4.6702
Er -6.8037 -0.6145 3.8756
Ho -3.9995 5.2279 0.6535
```



(5)
Material: AcHo4Er2
Method: DFT, PBE
State: relaxed Values from VASP.

- Energy above the lowest structure with this stoichiometry: 17.9 meV per atom

The structure in Quantum ESPRESSO input format:
```
&SYSTEM
  ibrav = 0, nat = 14, ntyp = 3
/
ATOMIC_SPECIES
Ac 227.00 Ac.upf
Ho 164.93 Ho.upf
Er 167.26 Er.upf
CELL_PARAMETERS angstrom
-6.3495 -2.4568 -2.0446
2.5398 -6.2551 5.7692
-0.5869 8.7196 3.6610
ATOMIC_POSITIONS angstrom
Ac -0.3600 -1.1874 5.0009
Ho -0.1744 0.7868 8.2550
Ho -1.7305 2.1634 5.2867
Er -3.7017 -4.2364 0.7503
Ho -4.9124 0.9438 4.2230
Er -0.8147 -4.8275 4.5972
Er -1.4753 3.8900 2.4944
Ho -4.6768 2.6657 1.4189
Ho -5.0987 -0.8127 0.9582
Ac -3.4218 -0.3979 7.3212
Ho -2.0167 0.4067 1.9544
Er -3.5233 -2.4698 4.0372
Ho -0.6183 -3.0461 1.7719
Ho -3.9903 -5.9471 3.5702
```



(6)
Material: AcHo2Er8
Method: DFT, PBE
State: relaxed Values from VASP.

The structure in Quantum ESPRESSO input format:
```
&SYSTEM
  ibrav = 0, nat = 11, ntyp = 3
/
ATOMIC_SPECIES
Ho 164.93 Ho.upf
Er 167.26 Er.upf
Ac 227.00 Ac.upf
CELL_PARAMETERS angstrom
-3.7695 3.7039 -1.2879
0.6876 -3.3892 -9.6408
-4.1182 -7.0701 -6.1610
ATOMIC_POSITIONS angstrom
Ho -3.3794 -6.5641 -11.6107
Er -2.7832 -4.8372 -8.9605
Ac 0.0000 0.0000 0.0000
Er -3.3720 -3.6493 -5.2868
Er -1.5424 -1.1230 -3.3180
Ho -3.8207 -0.1913 -5.4790
Er -4.4169 -1.9182 -8.1291
Er -3.8281 -3.1061 -11.8029
Er -1.1559 -1.9519 -6.8914
Er -6.0443 -4.8035 -10.1982
Er -5.6578 -5.6324 -13.7717
```



| no. | energy of formation from the pure elements (eV per atom) |
| --- | --- |
| 1 | 0.0575 |
| 2 | 0.5380 |
| 3 | 0.3996 |
| 4 | 0.0342 |
| 5 | 0.0521 |
| 6 | 0.1281 |